# AlAg, relaxed, DFT PBEsol
# E: -3.7736 eV per atom
# DOS(E_F): 4.09 states/eV/cell
data_AlAg
_space_group_name_H-M_alt 'C m m e'
_space_group_IT_number 67
_space_group_name_Hall '-C 2a 2'
_cell_length_a 6.015
_cell_length_b 7.995
_cell_length_c 5.379
_cell_angle_alpha 90.00
_cell_angle_beta 90.00
_cell_angle_gamma 90.00
loop_
_atom_site_label
_atom_site_fract_x
_atom_site_fract_y
_atom_site_fract_z
_atom_site_occupancy
Al1 0.000 0.250 0.235 1
Al2 0.250 0.000 0.500 1
Ag1 0.000 0.250 0.732 1
Ag2 0.250 0.000 0.000 1

# Al3Ag, relaxed, DFT PBEsol
# E: -3.9303 eV per atom
# DOS(E_F): 2.84 states/eV/cell
data_Al3Ag
_space_group_name_H-M_alt 'P 1 21/m 1'
_space_group_IT_number 11
_space_group_name_Hall '-P 2yb'
_cell_length_a 5.621
_cell_length_b 2.882
_cell_length_c 8.420
_cell_angle_alpha 90.00
_cell_angle_beta 108.16
_cell_angle_gamma 90.00
loop_
_atom_site_label
_atom_site_fract_x
_atom_site_fract_y
_atom_site_fract_z
_atom_site_occupancy
Al1 0.061 0.250 0.371 1
Al2 0.304 0.250 0.880 1
Al3 0.432 0.750 0.626 1
Ag1 0.201 0.750 0.129 1

# Al3Ag2, relaxed, DFT PBEsol
# E: -3.8223 eV per atom
# DOS(E_F): 6.62 states/eV/cell
data_Al3Ag2
_space_group_name_H-M_alt 'C 1 2 1'
_space_group_IT_number 5
_space_group_name_Hall 'C 2y'
_cell_length_a 4.874
_cell_length_b 14.314
_cell_length_c 4.912
_cell_angle_alpha 90.00
_cell_angle_beta 108.60
_cell_angle_gamma 90.00
loop_
_atom_site_label
_atom_site_fract_x
_atom_site_fract_y
_atom_site_fract_z
_atom_site_occupancy
Al1 0.000 0.000 0.000 1
Al2 0.000 0.099 0.500 1
Al3 0.000 0.199 0.000 1
Al4 0.000 0.397 0.000 1
Al5 0.000 0.499 0.500 1
Al6 0.000 0.895 0.500 1
Ag1 0.000 0.301 0.500 1
Ag2 0.000 0.593 0.000 1
Ag3 0.000 0.695 0.500 1
Ag4 0.000 0.803 0.000 1

# Al5Ag3, relaxed, DFT PBEsol
# E: -3.8429 eV per atom
# DOS(E_F): 9.43 states/eV/cell
data_Al5Ag3
_space_group_name_H-M_alt 'F 2 2 2'
_space_group_IT_number 22
_space_group_name_Hall 'F 2 2'
_cell_length_a 5.565
_cell_length_b 8.010
_cell_length_c 11.644
_cell_angle_alpha 90.00
_cell_angle_beta 90.00
_cell_angle_gamma 90.00
loop_
_atom_site_label
_atom_site_fract_x
_atom_site_fract_y
_atom_site_fract_z
_atom_site_occupancy
Al1 0.000 0.000 0.000 1
Al2 0.000 0.000 0.251 1
Al3 0.250 0.250 0.126 1
Ag1 0.000 0.000 0.500 1
Ag2 0.250 0.250 0.626 1

# AlAg2, relaxed, DFT PBEsol
# E: -3.6286 eV per atom
# DOS(E_F): 2.00 states/eV/cell
data_AlAg2
_space_group_name_H-M_alt 'P -3 m 1'
_space_group_IT_number 164
_space_group_name_Hall '-P 3 2"'
_cell_length_a 2.8958
_cell_length_b 2.8958
_cell_length_c 13.4112
_cell_angle_alpha 90.00
_cell_angle_beta 90.00
_cell_angle_gamma 120.00
loop_
_atom_site_label
_atom_site_fract_x
_atom_site_fract_y
_atom_site_fract_z
_atom_site_occupancy
Al1 0.3333 0.6667 0.1648 1
Ag1 0.0000 0.0000 0.0000 1
Ag2 0.0000 0.0000 0.5000 1
Ag3 0.3333 0.6667 0.6747 1

# Al7Ag5, relaxed, DFT PBEsol
# E: -3.8178 eV per atom
# DOS(E_F): 8.02 states/eV/cell
data_Al7Ag5
_space_group_name_H-M_alt 'C m m m'
_space_group_IT_number 65
_space_group_name_Hall '-C 2 2'
_cell_length_a 5.805
_cell_length_b 16.995
_cell_length_c 3.933
_cell_angle_alpha 90.00
_cell_angle_beta 90.00
_cell_angle_gamma 90.00
loop_
_atom_site_label
_atom_site_fract_x
_atom_site_fract_y
_atom_site_fract_z
_atom_site_occupancy
Al1 0.000 0.000 0.000 1
Al2 0.000 0.172 0.000 1
Al3 0.246 0.085 0.500 1
Ag1 0.000 0.337 0.000 1
Ag2 0.000 0.500 0.000 1
Ag3 0.250 0.250 0.500 1

# Al2Ag3, relaxed, DFT PBEsol
# E: -3.6952 eV per atom
# DOS(E_F): 2.66 states/eV/cell
data_Al2Ag3
_space_group_name_H-M_alt 'P 1 m 1'
_space_group_IT_number 6
_space_group_name_Hall 'P -2y'
_cell_length_a 6.794
_cell_length_b 2.947
_cell_length_c 8.338
_cell_angle_alpha 90.00
_cell_angle_beta 104.82
_cell_angle_gamma 90.00
loop_
_atom_site_label
_atom_site_fract_x
_atom_site_fract_y
_atom_site_fract_z
_atom_site_occupancy
Al1 0.000 0.000 0.000 1
Al2 0.101 0.500 0.303 1
Al3 0.207 0.000 0.611 1
Al4 0.412 0.000 0.203 1
Ag1 0.300 0.500 0.913 1
Ag2 0.488 0.500 0.491 1
Ag3 0.598 0.000 0.797 1
Ag4 0.712 0.500 0.101 1
Ag5 0.815 0.000 0.404 1
Ag6 0.908 0.500 0.706 1

# AlAg, relaxed, DFT PBEsol
# E: -3.7588 eV per atom
# DOS(E_F): 2.73 states/eV/cell
data_AlAg
_space_group_name_H-M_alt 'P 1 2/m 1'
_space_group_IT_number 10
_space_group_name_Hall '-P 2y'
_cell_length_a 4.714
_cell_length_b 2.920
_cell_length_c 9.493
_cell_angle_alpha 90.00
_cell_angle_beta 98.27
_cell_angle_gamma 90.00
loop_
_atom_site_label
_atom_site_fract_x
_atom_site_fract_y
_atom_site_fract_z
_atom_site_occupancy
Al1 0.000 0.000 0.000 1
Al2 0.000 0.500 0.500 1
Al3 0.269 0.000 0.749 1
Ag1 0.226 0.500 0.248 1
Ag2 0.500 0.000 0.500 1
Ag3 0.500 0.500 0.000 1

# Al3Ag5, relaxed, DFT PBEsol
# E: -3.6966 eV per atom
# DOS(E_F): 4.30 states/eV/cell
data_Al3Ag5
_space_group_name_H-M_alt 'A m m 2'
_space_group_IT_number 38
_space_group_name_Hall 'A 2 -2'
_cell_length_a 4.011
_cell_length_b 11.339
_cell_length_c 5.628
_cell_angle_alpha 90.00
_cell_angle_beta 90.00
_cell_angle_gamma 90.00
loop_
_atom_site_label
_atom_site_fract_x
_atom_site_fract_y
_atom_site_fract_z
_atom_site_occupancy
Al1 0.000 0.000 0.000 1
Al2 0.500 0.129 0.274 1
Ag1 0.000 0.000 0.489 1
Ag2 0.000 0.245 0.027 1
Ag3 0.500 0.124 0.774 1

# Al5Ag4, relaxed, DFT PBEsol
# E: -3.8023 eV per atom
# DOS(E_F): 5.72 states/eV/cell
data_Al5Ag4
_space_group_name_H-M_alt 'C 1 m 1'
_space_group_IT_number 8
_space_group_name_Hall 'C -2y'
_cell_length_a 9.250
_cell_length_b 3.949
_cell_length_c 8.356
_cell_angle_alpha 90.00
_cell_angle_beta 107.62
_cell_angle_gamma 90.00
loop_
_atom_site_label
_atom_site_fract_x
_atom_site_fract_y
_atom_site_fract_z
_atom_site_occupancy
Al1 0.000 0.000 0.000 1
Al2 0.013 0.000 0.344 1
Al3 0.171 0.500 0.234 1
Al4 0.185 0.500 0.577 1
Al5 0.345 0.000 0.459 1
Ag1 0.010 0.000 0.664 1
Ag2 0.172 0.500 0.909 1
Ag3 0.343 0.000 0.788 1
Ag4 0.344 0.000 0.136 1

# AlAg, relaxed, DFT PBEsol
# E: -3.7529 eV per atom
# DOS(E_F): 2.24 states/eV/cell
data_AlAg
_space_group_name_H-M_alt 'P 1'
_space_group_IT_number 1
_space_group_name_Hall 'P 1'
_cell_length_a 4.839
_cell_length_b 5.087
_cell_length_c 5.678
_cell_angle_alpha 93.15
_cell_angle_beta 108.04
_cell_angle_gamma 100.69
loop_
_atom_site_label
_atom_site_fract_x
_atom_site_fract_y
_atom_site_fract_z
_atom_site_occupancy
Al1 0.000 0.000 0.000 1
Al2 0.001 0.496 0.257 1
Al3 0.009 0.003 0.499 1
Al4 0.506 0.745 0.125 1
Ag1 0.016 0.509 0.760 1
Ag2 0.493 0.241 0.369 1
Ag3 0.507 0.248 0.881 1
Ag4 0.510 0.757 0.618 1

# Al5Ag3, relaxed, DFT PBEsol
# E: -3.8417 eV per atom
# DOS(E_F): 2.51 states/eV/cell
data_Al5Ag3
_space_group_name_H-M_alt 'P m m 2'
_space_group_IT_number 25
_space_group_name_Hall 'P 2 -2'
_cell_length_a 2.961
_cell_length_b 3.942
_cell_length_c 11.141
_cell_angle_alpha 90.00
_cell_angle_beta 90.00
_cell_angle_gamma 90.00
loop_
_atom_site_label
_atom_site_fract_x
_atom_site_fract_y
_atom_site_fract_z
_atom_site_occupancy
Al1 0.000 0.000 0.000 1
Al2 0.000 0.000 0.252 1
Al3 0.000 0.000 0.504 1
Al4 0.500 0.500 0.131 1
Al5 0.500 0.500 0.637 1
Ag1 0.000 0.000 0.748 1
Ag2 0.500 0.500 0.385 1
Ag3 0.500 0.500 0.886 1

# Al3Ag5, relaxed, DFT PBEsol
# E: -3.6924 eV per atom
# DOS(E_F): 2.29 states/eV/cell
data_Al3Ag5
_space_group_name_H-M_alt 'P -1'
_space_group_IT_number 2
_space_group_name_Hall '-P 1'
_cell_length_a 4.914
_cell_length_b 5.034
_cell_length_c 5.597
_cell_angle_alpha 71.29
_cell_angle_beta 88.98
_cell_angle_gamma 78.74
loop_
_atom_site_label
_atom_site_fract_x
_atom_site_fract_y
_atom_site_fract_z
_atom_site_occupancy
Al1 0.000 0.000 0.000 1
Al2 0.247 0.500 0.859 1
Ag1 0.000 0.000 0.500 1
Ag2 0.250 0.515 0.356 1
Ag3 0.492 0.984 0.760 1

# Al3Ag5, relaxed, DFT PBEsol
# E: -3.6882 eV per atom
# DOS(E_F): 2.29 states/eV/cell
data_Al3Ag5
_space_group_name_H-M_alt 'P m m m'
_space_group_IT_number 47
_space_group_name_Hall '-P 2 2'
_cell_length_a 3.881
_cell_length_b 4.092
_cell_length_c 8.072
_cell_angle_alpha 90.00
_cell_angle_beta 90.00
_cell_angle_gamma 90.00
loop_
_atom_site_label
_atom_site_fract_x
_atom_site_fract_y
_atom_site_fract_z
_atom_site_occupancy
Al1 0.000 0.000 0.000 1
Al2 0.000 0.500 0.254 1
Ag1 0.000 0.000 0.500 1
Ag2 0.500 0.000 0.242 1
Ag3 0.500 0.500 0.000 1
Ag4 0.500 0.500 0.500 1

# AlAg, relaxed, DFT PBEsol
# E: -3.7452 eV per atom
# DOS(E_F): 2.27 states/eV/cell
data_AlAg
_space_group_name_H-M_alt 'C m c m'
_space_group_IT_number 63
_space_group_name_Hall '-C 2c 2'
_cell_length_a 2.966
_cell_length_b 10.313
_cell_length_c 4.300
_cell_angle_alpha 90.00
_cell_angle_beta 90.00
_cell_angle_gamma 90.00
loop_
_atom_site_label
_atom_site_fract_x
_atom_site_fract_y
_atom_site_fract_z
_atom_site_occupancy
Al1 0.000 0.162 0.250 1
Ag1 0.000 0.416 0.250 1

# AlAg, relaxed, DFT PBEsol
# E: -3.7446 eV per atom
# DOS(E_F): 2.61 states/eV/cell
data_AlAg
_space_group_name_H-M_alt 'P 4 m m'
_space_group_IT_number 99
_space_group_name_Hall 'P 4 -2'
_cell_length_a 2.870
_cell_length_b 2.870
_cell_length_c 15.677
_cell_angle_alpha 90.00
_cell_angle_beta 90.00
_cell_angle_gamma 90.00
loop_
_atom_site_label
_atom_site_fract_x
_atom_site_fract_y
_atom_site_fract_z
_atom_site_occupancy
Al1 0.000 0.000 0.000 1
Al2 0.000 0.000 0.247 1
Al3 0.000 0.000 0.498 1
Al4 0.500 0.500 0.625 1
Ag1 0.000 0.000 0.746 1
Ag2 0.500 0.500 0.122 1
Ag3 0.500 0.500 0.371 1
Ag4 0.500 0.500 0.881 1

# AlAgAs, relaxed, DFT PBEsol
# E: -4.0447 eV per atom
# DOS(E_F): 1.16 states/eV/cell
data_AlAgAs
_space_group_name_H-M_alt 'P 3 m 1'
_space_group_IT_number 156
_space_group_name_Hall 'P 3 -2"'
_cell_length_a 4.7631
_cell_length_b 4.7631
_cell_length_c 2.7829
_cell_angle_alpha 90.00
_cell_angle_beta 90.00
_cell_angle_gamma 120.00
loop_
_atom_site_label
_atom_site_fract_x
_atom_site_fract_y
_atom_site_fract_z
_atom_site_occupancy
Al1 0.0000 0.0000 0.0000 1
Ag1 0.3333 0.6667 0.9943 1
As1 0.6667 0.3333 0.9992 1

# AlAgAs2, relaxed, DFT PBEsol
# E: -4.2937 eV per atom
# DOS(E_F): 8.23 states/eV/cell
data_AlAgAs2
_space_group_name_H-M_alt 'I -4 2 d'
_space_group_IT_number 122
_space_group_name_Hall 'I -4 2bw'
_cell_length_a 5.855
_cell_length_b 5.855
_cell_length_c 10.967
_cell_angle_alpha 90.00
_cell_angle_beta 90.00
_cell_angle_gamma 90.00
loop_
_atom_site_label
_atom_site_fract_x
_atom_site_fract_y
_atom_site_fract_z
_atom_site_occupancy
Al1 0.000 0.000 0.000 1
Ag1 0.000 0.000 0.500 1
As1 0.242 0.250 0.125 1

# AlAgAs2, relaxed, DFT PBEsol
# E: -4.3401 eV per atom
# DOS(E_F): 1.20 states/eV/cell
data_AlAgAs2
_space_group_name_H-M_alt 'P 1 2/m 1'
_space_group_IT_number 10
_space_group_name_Hall '-P 2y'
_cell_length_a 4.109
_cell_length_b 3.594
_cell_length_c 5.455
_cell_angle_alpha 90.00
_cell_angle_beta 109.01
_cell_angle_gamma 90.00
loop_
_atom_site_label
_atom_site_fract_x
_atom_site_fract_y
_atom_site_fract_z
_atom_site_occupancy
Al1 0.000 0.000 0.000 1
Ag1 0.500 0.000 0.500 1
As1 0.278 0.500 0.782 1

# Al2AgAs, relaxed, DFT PBEsol
# E: -4.1731 eV per atom
# DOS(E_F): 1.75 states/eV/cell
data_Al2AgAs
_space_group_name_H-M_alt 'P m m m'
_space_group_IT_number 47
_space_group_name_Hall '-P 2 2'
_cell_length_a 2.753
_cell_length_b 3.376
_cell_length_c 7.542
_cell_angle_alpha 90.00
_cell_angle_beta 90.00
_cell_angle_gamma 90.00
loop_
_atom_site_label
_atom_site_fract_x
_atom_site_fract_y
_atom_site_fract_z
_atom_site_occupancy
Al1 0.000 0.000 0.232 1
Ag1 0.500 0.500 0.000 1
As1 0.000 0.500 0.500 1

# AlAgAs2, relaxed, DFT PBEsol
# E: -4.4226 eV per atom
# DOS(E_F): 1.36 states/eV/cell
data_AlAgAs2
_space_group_name_H-M_alt 'P 4/m m m'
_space_group_IT_number 123
_space_group_name_Hall '-P 4 2'
_cell_length_a 3.739
_cell_length_b 3.739
_cell_length_c 5.270
_cell_angle_alpha 90.00
_cell_angle_beta 90.00
_cell_angle_gamma 90.00
loop_
_atom_site_label
_atom_site_fract_x
_atom_site_fract_y
_atom_site_fract_z
_atom_site_occupancy
Al1 0.000 0.000 0.000 1
Ag1 0.500 0.500 0.500 1
As1 0.000 0.000 0.500 1
As2 0.500 0.500 0.000 1

# AlAgAs2, relaxed, DFT PBEsol
# E: -4.4029 eV per atom
# DOS(E_F): 0.73 states/eV/cell
data_AlAgAs2
_space_group_name_H-M_alt 'P m m 2'
_space_group_IT_number 25
_space_group_name_Hall 'P 2 -2'
_cell_length_a 2.966
_cell_length_b 4.095
_cell_length_c 6.967
_cell_angle_alpha 90.00
_cell_angle_beta 90.00
_cell_angle_gamma 90.00
loop_
_atom_site_label
_atom_site_fract_x
_atom_site_fract_y
_atom_site_fract_z
_atom_site_occupancy
Al1 0.000 0.000 0.000 1
Ag1 0.000 0.500 0.428 1
As1 0.000 0.500 0.803 1
As2 0.500 0.000 0.300 1

# AlAgAs2, relaxed, DFT PBEsol
# E: -4.2375 eV per atom
# DOS(E_F): 3.28 states/eV/cell
data_AlAgAs2
_space_group_name_H-M_alt 'C m m m'
_space_group_IT_number 65
_space_group_name_Hall '-C 2 2'
_cell_length_a 4.338
_cell_length_b 4.347
_cell_length_c 7.468
_cell_angle_alpha 90.00
_cell_angle_beta 90.00
_cell_angle_gamma 90.00
loop_
_atom_site_label
_atom_site_fract_x
_atom_site_fract_y
_atom_site_fract_z
_atom_site_occupancy
Al1 0.000 0.000 0.000 1
Ag1 0.000 0.000 0.500 1
As1 0.000 0.500 0.239 1

# AlAg2As, relaxed, DFT PBEsol
# E: -3.8926 eV per atom
# DOS(E_F): 1.46 states/eV/cell
data_AlAg2As
_space_group_name_H-M_alt 'P 4/m m m'
_space_group_IT_number 123
_space_group_name_Hall '-P 4 2'
_cell_length_a 2.892
_cell_length_b 2.892
_cell_length_c 8.103
_cell_angle_alpha 90.00
_cell_angle_beta 90.00
_cell_angle_gamma 90.00
loop_
_atom_site_label
_atom_site_fract_x
_atom_site_fract_y
_atom_site_fract_z
_atom_site_occupancy
Al1 0.000 0.000 0.000 1
Ag1 0.500 0.500 0.231 1
As1 0.000 0.000 0.500 1

# AlAgAs2, relaxed, DFT PBEsol
# E: -4.3758 eV per atom
# DOS(E_F): 6.53 states/eV/cell
data_AlAgAs2
_space_group_name_H-M_alt 'R -3 m'
_space_group_IT_number 166
_space_group_name_Hall '-R 3 2"'
_cell_length_a 3.7122
_cell_length_b 3.7122
_cell_length_c 18.6981
_cell_angle_alpha 90.00
_cell_angle_beta 90.00
_cell_angle_gamma 120.00
loop_
_atom_site_label
_atom_site_fract_x
_atom_site_fract_y
_atom_site_fract_z
_atom_site_occupancy
Al1 0.0000 0.0000 0.0000 1
Ag1 0.0000 0.0000 0.5000 1
As1 0.0000 0.0000 0.2538 1

# Al2AgAs, relaxed, DFT PBEsol
# E: -4.0734 eV per atom
# DOS(E_F): 4.58 states/eV/cell
data_Al2AgAs
_space_group_name_H-M_alt 'R 3 m'
_space_group_IT_number 160
_space_group_name_Hall 'R 3 -2"'
_cell_length_a 2.9632
_cell_length_b 2.9632
_cell_length_c 26.8403
_cell_angle_alpha 90.00
_cell_angle_beta 90.00
_cell_angle_gamma 120.00
loop_
_atom_site_label
_atom_site_fract_x
_atom_site_fract_y
_atom_site_fract_z
_atom_site_occupancy
Al1 0.0000 0.0000 0.0000 1
Al2 0.0000 0.0000 0.2525 1
Ag1 0.0000 0.0000 0.5070 1
As1 0.0000 0.0000 0.7457 1